Entry from Alexandria: Li2CrPdRu after structural relaxation (PBE).

Geometry as CIF:
```
data_Li2CrPdRu
_chemical_formula_sum 'Li2 Cr1 Pd1 Ru1'
_cell_length_a 4.373
_cell_length_b 4.373
_cell_length_c 4.760
_cell_angle_alpha 90.00
_cell_angle_beta 90.00
_cell_angle_gamma 90.00
_space_group_name_H-M_alt 'P 4/m m m'
_space_group_IT_number 123
_space_group_name_Hall '-P 4 2'
loop_
_atom_site_label
_atom_site_type_symbol
_atom_site_fract_x
_atom_site_fract_y
_atom_site_fract_z
Li1 Li 0.000 0.500 0.000
Cr1 Cr 0.000 0.000 0.500
Pd1 Pd 0.500 0.500 0.500
Ru1 Ru 0.500 0.500 0.000
```

Calculated values
formation enthalpy at 0 K: 1.408 eV per atom